1.
Below is a relaxed BaNiHg4 crystal, with properties calculated at the PBE level.

The space group is F-43m (No. 216) and the conventional cell measures 8.602, 8.602 and 8.602 Å, with angles of 90.00, 90.00 and 90.00 degrees. The inequivalent atoms are Ba at (0.000, 0.000, 0.000), Ni at (0.250, 0.250, 0.250) and Hg at (0.124, 0.124, 0.624).

The energy is -8.44 eV/f.u. For the formation energy, the calculation gives 0.08 eV per atom.

2.
Below is a relaxed Mg2IrN crystal, with properties calculated at the PBE level.

The space group is I-42d (No. 122) and the conventional cell measures 8.468, 8.468 and 3.809 Å, with angles of 90.00, 90.00 and 90.00 degrees. The inequivalent atoms are Mg at (0.097, 0.250, 0.125), Ir at (0.000, 0.000, 0.500) and N at (0.000, 0.000, 0.000).

As for the raw formation energy: -0.4 eV per formula unit. The energy is -20.74 eV/f.u.

3.
Below is a relaxed Sr8SiAg2 crystal, with properties calculated at the PBE level.

The space group is Cm (No. 8) and the conventional cell measures 9.609, 14.451 and 7.116 Å, with angles of 90.00, 111.46 and 90.00 degrees. The inequivalent atoms are Sr at (0.000, 0.000, 0.000), Sr at (0.057, 0.372, 0.770), Sr at (0.136, 0.131, 0.555), Sr at (0.194, 0.500, 0.370), Sr at (0.340, 0.197, 0.172), Si at (0.346, 0.000, 0.397) and Ag at (0.358, 0.315, 0.697).

As for the raw formation energy: -1.4 eV per formula unit. The energy is -26.01 eV/f.u.

4.
Below is a relaxed NaSr2CdPb crystal, with properties calculated at the PBE level.

The space group is P4/mmm (No. 123) and the conventional cell measures 6.224, 6.224 and 5.143 Å, with angles of 90.00, 90.00 and 90.00 degrees. The inequivalent atoms are Na at (0.000, 0.000, 0.000), Sr at (0.000, 0.500, 0.000), Cd at (0.000, 0.000, 0.500) and Pb at (0.500, 0.500, 0.500).

The energy is -8.26 eV/f.u. For the formation energy, the calculation gives 0.21 eV per atom.

5.
Below is a relaxed NaAg2As crystal, with properties calculated at the PBE level.

The space group is Cmcm (No. 63) and the conventional cell measures 4.551, 9.727 and 7.656 Å, with angles of 90.00, 90.00 and 90.00 degrees. The inequivalent atoms are Na at (0.000, 0.056, 0.250), Ag at (0.000, 0.352, 0.064) and As at (0.000, 0.243, 0.750).

Its offset from the most stable computed form is 0.0 meV per atom. The energy is -12.08 eV/f.u. For the formation energy, the calculation gives -0.10 eV per atom.

6.
Below is a relaxed Na3CrH8 crystal, with properties calculated at the PBE level.

The space group is Pm-3m (No. 221) and the conventional cell measures 4.906, 4.906 and 4.906 Å, with angles of 90.00, 90.00 and 90.00 degrees. The inequivalent atoms are Na at (0.000, 0.000, 0.500), Cr at (0.500, 0.500, 0.500) and H at (0.300, 0.300, 0.300).

The energy is -40.16 eV/f.u.

7.
Below is a relaxed Ho3ScRh8 crystal, with properties calculated at the PBE level.

The space group is R3m (No. 160, hexagonal axes) and the conventional cell measures 5.2961, 5.2961 and 25.9388 Å, with angles of 90.00, 90.00 and 120.00 degrees. The inequivalent atoms are Ho at (0.0000, 0.0000, 0.0000), Ho at (0.0000, 0.0000, 0.1263), Ho at (0.0000, 0.0000, 0.5035), Sc at (0.0000, 0.0000, 0.6278), Rh at (0.0000, 0.0000, 0.3140), Rh at (0.0000, 0.0000, 0.8142), Rh at (0.0001, 0.5001, 0.5650) and Rh at (0.1671, 0.3341, 0.3967).

The energy is -87.74 eV/f.u. For the formation energy, the calculation gives -0.74 eV per atom.

8.
Below is a relaxed KNa2Pd2 crystal, with properties calculated at the PBE level.

The space group is P4/mbm (No. 127) and the conventional cell measures 8.620, 8.620 and 3.131 Å, with angles of 90.00, 90.00 and 90.00 degrees. The inequivalent atoms are K at (0.000, 0.000, 0.000), Na at (0.167, 0.333, 0.500) and Pd at (0.119, 0.619, 0.000).

Its offset from the most stable computed form is 29.0 meV per atom. The energy is -13.97 eV/f.u. For the formation energy, the calculation gives 0.03 eV per atom.